Entry 1:
Density functional theory data (PBE) for an optimized crystal structure of CaCSe3.

## Properties
Its energy is -13.59 eV/cell. The magnetization is 0.00 μB/cell. As for the formation energy from raw total energies: 1618 meV per atom. The space group is Pm-3m. The value obtained for the polymorph energy (0 for the lowest one) is 1398 meV/atom. Its volume is 31.925 A^3/atom.

a = 5.4246 Å, b = 5.4246 Å, c = 5.4246 Å
α = 90.00°, β = 90.00°, γ = 90.00°
Sites, in units of the cell vectors:
Ca  0.0000  0.0000  0.0000
C  0.5000  0.5000  0.5000
Se  0.0000  0.5000  0.0000
Se  0.0000  0.0000  0.5000
Se  0.5000  0.0000  0.0000

***

Entry 2:
Density functional theory data (PBE) for an optimized crystal structure of Ca2CSe.

## Properties
Its energy is -16.83 eV/cell. The magnetization is 1.87 μB/cell. As for the formation energy from raw total energies: -29 meV per atom. The space group is Fm-3m. Its volume is 20.413 A^3/atom.

a = 4.8696 Å, b = 4.8696 Å, c = 4.8696 Å
α = 60.00°, β = 60.00°, γ = 60.00°
Each line ends with the local moment (μB).
Sites, in units of the cell vectors:
Ca  0.2500  0.2500  0.2500  0.04
Ca  0.7500  0.7500  0.7500  0.04
C  0.0000  0.0000  0.0000  0.67
Se  0.5000  0.5000  0.5000  0.18

***

Entry 3:
Density functional theory data (PBE) for an optimized crystal structure of Ca3CSe.

## Properties
Its energy is -21.50 eV/cell. The magnetization is 0.00 μB/cell. As for the formation energy from raw total energies: -557 meV per atom. The space group is Pm-3m. The value obtained for the polymorph energy (0 for the lowest one) is 0 meV/atom. Its volume is 24.320 A^3/atom.

a = 4.9542 Å, b = 4.9542 Å, c = 4.9542 Å
α = 90.00°, β = 90.00°, γ = 90.00°
Sites, in units of the cell vectors:
Ca  0.0000  0.5000  0.0000
Ca  0.0000  0.0000  0.5000
Ca  0.5000  0.0000  0.0000
C  0.0000  0.0000  0.0000
Se  0.5000  0.5000  0.5000

***

Entry 4:
Density functional theory data (PBE) for an optimized crystal structure of CaCSe2.

## Properties
Its energy is -14.28 eV/cell. The magnetization is 0.00 μB/cell. As for the formation energy from raw total energies: 978 meV per atom. The space group is R-3m. Its volume is 21.419 A^3/atom.

a = 8.5224 Å, b = 8.5224 Å, c = 8.5224 Å
α = 23.39°, β = 23.39°, γ = 23.39°
Sites, in units of the cell vectors:
Ca  0.0000  0.0000  0.0000
C  0.5000  0.5000  0.5000
Se  0.8869  0.8869  0.8869
Se  0.1131  0.1131  0.1131